# TmSnAu (meta-GGA SCAN, PBEsol geometry)
# Energy (eV per atom): -53.41
# Crystal system: cubic
# Fermi-level density of states (states/eV per atom): 0.0063
data_TmSnAu
_symmetry_space_group_name_H-M 'F -4 3 m'
_symmetry_Int_Tables_number 216
_symmetry_space_group_name_Hall 'F -4 2 3'
_cell_length_a 6.567
_cell_length_b 6.567
_cell_length_c 6.567
_cell_angle_alpha 90.00
_cell_angle_beta 90.00
_cell_angle_gamma 90.00
loop_
_atom_site_label
_atom_site_fract_x
_atom_site_fract_y
_atom_site_fract_z
Tm1 0.000 0.000 0.000
Sn1 0.000 0.000 0.500
Au1 0.250 0.250 0.750



# TeRh2Au (meta-GGA SCAN, PBEsol geometry)
# Energy (eV per atom): -43.32
# Crystal system: tetragonal
# Fermi-level density of states (states/eV per atom): 1.4320
data_TeRh2Au
_symmetry_space_group_name_H-M 'I -4 m 2'
_symmetry_Int_Tables_number 119
_symmetry_space_group_name_Hall 'I -4 -2'
_cell_length_a 3.902
_cell_length_b 3.902
_cell_length_c 8.593
_cell_angle_alpha 90.00
_cell_angle_beta 90.00
_cell_angle_gamma 90.00
loop_
_atom_site_label
_atom_site_fract_x
_atom_site_fract_y
_atom_site_fract_z
Te1 0.000 0.000 0.000
Rh1 0.000 0.000 0.500
Rh2 0.000 0.500 0.750
Au1 0.000 0.500 0.250



# Te2OsRh (meta-GGA SCAN, PBEsol geometry)
# Energy (eV per atom): -44.18
# Crystal system: monoclinic
# Fermi-level density of states (states/eV per atom): 0.9212
data_Te2OsRh
_symmetry_space_group_name_H-M 'P 1 2/m 1'
_symmetry_Int_Tables_number 10
_symmetry_space_group_name_Hall '-P 2y'
_cell_length_a 3.091
_cell_length_b 4.462
_cell_length_c 5.392
_cell_angle_alpha 90.00
_cell_angle_beta 91.18
_cell_angle_gamma 90.00
loop_
_atom_site_label
_atom_site_fract_x
_atom_site_fract_y
_atom_site_fract_z
Te1 0.217 0.000 0.245
Os1 0.000 0.500 0.500
Rh1 0.500 0.500 0.000



# DySi2Ir2 (meta-GGA SCAN, PBEsol geometry)
# Energy (eV per atom): -43.24
# Crystal system: tetragonal
# Fermi-level density of states (states/eV per atom): 0.4279
data_DySi2Ir2
_symmetry_space_group_name_H-M 'P 4/n m m'
_symmetry_Int_Tables_number 129
_cell_length_a 4.085
_cell_length_b 4.085
_cell_length_c 9.777
_cell_angle_alpha 90.00
_cell_angle_beta 90.00
_cell_angle_gamma 90.00
loop_
_symmetry_equiv_pos_as_xyz
'x,y,z'
'-x,-y,-z'
'-y+1/2,x,z'
'y+1/2,-x,-z'
'-x+1/2,-y+1/2,z'
'x+1/2,y+1/2,-z'
'y,-x+1/2,z'
'-y,x+1/2,-z'
'x+1/2,-y,-z'
'-x+1/2,y,z'
'-y,-x,-z'
'y,x,z'
'-x,y+1/2,-z'
'x,-y+1/2,z'
'y+1/2,x+1/2,-z'
'-y+1/2,-x+1/2,z'
loop_
_atom_site_label
_atom_site_fract_x
_atom_site_fract_y
_atom_site_fract_z
Dy1 0.250 0.250 0.247
Si1 0.250 0.250 0.631
Si2 0.250 0.750 0.000
Ir1 0.250 0.250 0.871
Ir2 0.250 0.750 0.500



# TiCo2Si (meta-GGA SCAN, PBEsol geometry)
# Energy (eV per atom): -15.02
# Crystal system: tetragonal
# Fermi-level density of states (states/eV per atom): 0.8190
data_TiCo2Si
_symmetry_space_group_name_H-M 'I -4 2 d'
_symmetry_Int_Tables_number 122
_symmetry_space_group_name_Hall 'I -4 2bw'
_cell_length_a 6.236
_cell_length_b 6.236
_cell_length_c 5.191
_cell_angle_alpha 90.00
_cell_angle_beta 90.00
_cell_angle_gamma 90.00
loop_
_atom_site_label
_atom_site_fract_x
_atom_site_fract_y
_atom_site_fract_z
Ti1 0.000 0.000 0.000
Co1 0.229 0.750 0.625
Si1 0.000 0.000 0.500



# PrPOsO (meta-GGA SCAN, PBEsol geometry)
# Energy (eV per atom): -34.97
# Crystal system: tetragonal
# Fermi-level density of states (states/eV per atom): 0.1762
data_PrPOsO
_symmetry_space_group_name_H-M 'P 4/n m m'
_symmetry_Int_Tables_number 129
_cell_length_a 4.020
_cell_length_b 4.020
_cell_length_c 8.252
_cell_angle_alpha 90.00
_cell_angle_beta 90.00
_cell_angle_gamma 90.00
loop_
_symmetry_equiv_pos_as_xyz
'x,y,z'
'-x,-y,-z'
'-y+1/2,x,z'
'y+1/2,-x,-z'
'-x+1/2,-y+1/2,z'
'x+1/2,y+1/2,-z'
'y,-x+1/2,z'
'-y,x+1/2,-z'
'x+1/2,-y,-z'
'-x+1/2,y,z'
'-y,-x,-z'
'y,x,z'
'-x,y+1/2,-z'
'x,-y+1/2,z'
'y+1/2,x+1/2,-z'
'-y+1/2,-x+1/2,z'
loop_
_atom_site_label
_atom_site_fract_x
_atom_site_fract_y
_atom_site_fract_z
Pr1 0.250 0.250 0.144
P1 0.250 0.250 0.646
Os1 0.250 0.750 0.500
O1 0.250 0.750 0.000



# AlAg7 (meta-GGA SCAN, PBEsol geometry)
# Energy (eV per atom): -28.46
# Crystal system: orthorhombic
# Fermi-level density of states (states/eV per atom): 0.2900
data_AlAg7
_symmetry_space_group_name_H-M 'F m m m'
_symmetry_Int_Tables_number 69
_symmetry_space_group_name_Hall '-F 2 2'
_cell_length_a 5.679
_cell_length_b 8.063
_cell_length_c 11.434
_cell_angle_alpha 90.00
_cell_angle_beta 90.00
_cell_angle_gamma 90.00
loop_
_atom_site_label
_atom_site_fract_x
_atom_site_fract_y
_atom_site_fract_z
Al1 0.000 0.000 0.000
Ag1 0.000 0.000 0.246
Ag2 0.000 0.000 0.500
Ag3 0.250 0.250 0.123



# Li2MgS (meta-GGA SCAN, PBEsol geometry)
# Energy (eV per atom): -5.43
# Crystal system: tetragonal
# Fermi-level density of states (states/eV per atom): 0.4630
data_Li2MgS
_symmetry_space_group_name_H-M 'I -4 2 d'
_symmetry_Int_Tables_number 122
_symmetry_space_group_name_Hall 'I -4 2bw'
_cell_length_a 7.711
_cell_length_b 7.711
_cell_length_c 5.264
_cell_angle_alpha 90.00
_cell_angle_beta 90.00
_cell_angle_gamma 90.00
loop_
_atom_site_label
_atom_site_fract_x
_atom_site_fract_y
_atom_site_fract_z
Li1 0.154 0.250 0.125
Mg1 0.000 0.000 0.500
S1 0.000 0.000 0.000



# LiGe3H (meta-GGA SCAN, PBEsol geometry)
# Energy (eV per atom): -12.34
# Crystal system: cubic
# Fermi-level density of states (states/eV per atom): 0.3804
data_LiGe3H
_symmetry_space_group_name_H-M 'P m -3 m'
_symmetry_Int_Tables_number 221
_symmetry_space_group_name_Hall '-P 4 2 3'
_cell_length_a 4.199
_cell_length_b 4.199
_cell_length_c 4.199
_cell_angle_alpha 90.00
_cell_angle_beta 90.00
_cell_angle_gamma 90.00
loop_
_atom_site_label
_atom_site_fract_x
_atom_site_fract_y
_atom_site_fract_z
Li1 0.000 0.000 0.000
Ge1 0.000 0.500 0.500
H1 0.500 0.500 0.500



# Ca2LaF7 (meta-GGA SCAN, PBEsol geometry)
# Energy (eV per atom): -12.96
# Crystal system: trigonal
# Fermi-level density of states (states/eV per atom): 0.0000
data_Ca2LaF7
_symmetry_space_group_name_H-M 'P 3 m 1'
_symmetry_Int_Tables_number 156
_symmetry_space_group_name_Hall 'P 3 -2"'
_cell_length_a 3.9782
_cell_length_b 3.9782
_cell_length_c 9.6826
_cell_angle_alpha 90.00
_cell_angle_beta 90.00
_cell_angle_gamma 120.00
loop_
_atom_site_label
_atom_site_fract_x
_atom_site_fract_y
_atom_site_fract_z
Ca1 0.0000 0.0000 0.0000
Ca2 0.3333 0.6667 0.3153
La1 0.6667 0.3333 0.6694
F1 0.0000 0.0000 0.2404
F2 0.0000 0.0000 0.6940
F3 0.3333 0.6667 0.0834
F4 0.3333 0.6667 0.5467
F5 0.3333 0.6667 0.7984
F6 0.6667 0.3333 0.4044
F7 0.6667 0.3333 0.9288



# ZnCrP (meta-GGA SCAN, PBEsol geometry)
# Energy (eV per atom): -13.94
# Crystal system: cubic
# Fermi-level density of states (states/eV per atom): 0.7100
data_ZnCrP
_symmetry_space_group_name_H-M 'F -4 3 m'
_symmetry_Int_Tables_number 216
_symmetry_space_group_name_Hall 'F -4 2 3'
_cell_length_a 5.450
_cell_length_b 5.450
_cell_length_c 5.450
_cell_angle_alpha 90.00
_cell_angle_beta 90.00
_cell_angle_gamma 90.00
loop_
_atom_site_label
_atom_site_fract_x
_atom_site_fract_y
_atom_site_fract_z
Zn1 0.000 0.000 0.000
Cr1 0.000 0.000 0.500
P1 0.250 0.250 0.750



# BaHg2Se (meta-GGA SCAN, PBEsol geometry)
# Energy (eV per atom): -49.92
# Crystal system: tetragonal
data_BaHg2Se
_symmetry_space_group_name_H-M 'I -4 m 2'
_symmetry_Int_Tables_number 119
_symmetry_space_group_name_Hall 'I -4 -2'
_cell_length_a 5.457
_cell_length_b 5.457
_cell_length_c 7.708
_cell_angle_alpha 90.00
_cell_angle_beta 90.00
_cell_angle_gamma 90.00
loop_
_atom_site_label
_atom_site_fract_x
_atom_site_fract_y
_atom_site_fract_z
Ba1 0.000 0.000 0.000
Hg1 0.000 0.000 0.500
Hg2 0.000 0.500 0.750
Se1 0.000 0.500 0.250



Among the records above, which one has the lowest energy? TmSnAu



The highest energy belongs to which entry? Li2MgS



What is the formula in the eighth record? Li2MgS